A relaxed structure of MgMnF2, computed with PBE+U.

Output
The space-group type is Fm-3m (225). The total magnetization comes out at 5.00 μB/f.u. The offset from the most stable computed form comes out at 0.895 eV per atom.

abc: 4.375 4.375 4.375
angles: 60.00 60.00 60.00
Fractional positions:
Mg: 0.000 0.000 0.000
Mn: 0.500 0.500 0.500
F: 0.250 0.250 0.250
F: 0.750 0.750 0.750